# PBE SmZn4Ag, relaxed
data_SmZn4Ag
_chemical_formula_sum 'Sm4 Zn16 Ag4'
_cell_length_a 7.581
_cell_length_b 7.581
_cell_length_c 7.581
_cell_angle_alpha 90.00
_cell_angle_beta 90.00
_cell_angle_gamma 90.00
_symmetry_space_group_name_H-M 'F -4 3 m'
_symmetry_Int_Tables_number 216
_symmetry_space_group_name_Hall 'F -4 2 3'
loop_
_atom_site_label
_atom_site_fract_x
_atom_site_fract_y
_atom_site_fract_z
Sm1 0.000 0.000 0.000
Zn1 0.125 0.125 0.625
Ag1 0.250 0.250 0.250
# spin magnetization	0.0000	μB/atom
# calculated volume	435.7	Å³/cell
# energy of formation from the pure elements	-0.174	eV/atom


# PBE KRb2SrCl, relaxed
data_KRb2SrCl
_chemical_formula_sum 'K1 Rb2 Sr1 Cl1'
_cell_length_a 6.754
_cell_length_b 6.754
_cell_length_c 6.514
_cell_angle_alpha 90.00
_cell_angle_beta 90.00
_cell_angle_gamma 90.00
_symmetry_space_group_name_H-M 'P 4/m m m'
_symmetry_Int_Tables_number 123
_symmetry_space_group_name_Hall '-P 4 2'
loop_
_atom_site_label
_atom_site_fract_x
_atom_site_fract_y
_atom_site_fract_z
K1 0.000 0.000 0.000
Rb1 0.000 0.500 0.500
Sr1 0.500 0.500 0.000
Cl1 0.000 0.000 0.500
# calculated total energy	-1.905	eV/atom
# spin magnetization	0.0069	μB/atom
# calculated volume	297.1	Å³/cell


- spin magnetization of number 1 (SmZn4Ag)?
  0.0000 μB/atom